1.
First-principles (PBE) data for crystalline CuTc2Sn at its relaxed geometry, as listed in OQMD via LeMat-Bulk.

a b c (Å): 4.4333 4.4333 4.4333
angles (deg): 60.00 60.00 60.00
With the nearest neighbours (Å) after each atom.
Positions (direct):
Sn  0.5000  0.5000  0.5000  4 Cu 2.71, 4 Tc 2.71
Tc  0.7500  0.7500  0.7500  4 Tc 2.71, 4 Sn 2.71
Tc  0.0000  0.0000  0.0000  4 Tc 2.71, 4 Cu 2.71
Cu  0.2500  0.2500  0.2500  4 Sn 2.71, 4 Tc 2.71

Output
symmetry = F-43m

---

2.
First-principles (PBE) data for crystalline SrHgPO at its relaxed geometry, as listed in OQMD via LeMat-Bulk.

a b c (Å): 6.0863 6.0863 4.8564
angles (deg): 90.00 90.00 90.00
With the nearest neighbours (Å) after each atom.
Positions (direct):
Sr  0.5000  0.5000  0.5000  2 O 2.43
Sr  0.0000  0.0000  0.5000  2 O 2.43
Hg  0.0000  0.5000  0.0005  2 P 2.43
Hg  0.5000  0.0000  0.9995  2 P 2.43
O  0.0000  0.0000  0.0000  2 Sr 2.43
O  0.5000  0.5000  0.0000  2 Sr 2.43
P  0.0000  0.5000  0.5005  2 Hg 2.43
P  0.5000  0.0000  0.4995  2 Hg 2.43

Output
symmetry = P4/mmm

---

3.
First-principles (PBE) data for crystalline Ho4InSn4Pd2 at its relaxed geometry, as listed in OQMD via LeMat-Bulk.

a b c (Å): 8.4807 8.4807 7.5565
angles (deg): 107.80 107.80 30.97
With the nearest neighbours (Å) after each atom.
Positions (direct):
Ho  0.3438  0.3438  0.0616  5 Sn 3.07-3.17, 1 Pd 3.29
Ho  0.5896  0.5896  0.3888  3 Pd 3.10-3.24, 6 Sn 3.22-3.34
Ho  0.4104  0.4104  0.6112  3 Pd 3.10-3.24, 6 Sn 3.22-3.34
Ho  0.6562  0.6562  0.9384  5 Sn 3.07-3.17, 1 Pd 3.29
Pd  0.7776  0.7776  0.3792  4 Sn 2.68-2.78
Pd  0.2224  0.2224  0.6208  4 Sn 2.68-2.78
Sn  0.9326  0.9326  0.3273  1 Pd 2.68, 1 Sn 2.83
Sn  0.8084  0.8084  0.7630  3 Pd 2.70-2.78
Sn  0.0674  0.0674  0.6727  1 Pd 2.68, 1 Sn 2.83
Sn  0.1916  0.1916  0.2370  3 Pd 2.70-2.78
In  0.0000  0.0000  0.0000  4 Sn 3.01-3.08

Output
symmetry = C2/m

---

no.,energy (eV per formula unit)
1,-27.54
2,-14.56
3,-55.53